Material: NaSmMgS3
Method: DFT, PBE
State: relaxed

The value obtained for the size of the total moment is 0.0002 μB per atom. As for the excess energy over the best structure of this formula in the dataset: 0.002 eV per atom. Its crystal system is monoclinic.

The space group is P2_1/m (No. 11) and the conventional cell measures 7.942, 4.093 and 10.720 Å, with angles of 90.00, 106.05 and 90.00 degrees. Symmetry generates all atoms from Na at (0.170, 0.250, 0.130), Sm at (0.332, 0.750, 0.854), Mg at (0.052, 0.250, 0.613), S at (0.077, 0.250, 0.845), S at (0.206, 0.750, 0.578) and S at (0.424, 0.750, 0.125).